[1]
Here is Y2Cd3In2 after structural relaxation from Alexandria. Energies are from PBE-GGA.

Cell: 4.674 21.922 3.463 Å, 90.00 90.00 90.00°
Space group Cmmm (No. 65)
Symmetry-distinct sites (fractional):
Y (0.000, 0.151, 0.000) (multiplicity 4)
Cd (0.000, 0.000, 0.000) (multiplicity 2)
Cd (0.000, 0.431, 0.500) (multiplicity 4)
In (0.000, 0.289, 0.500) (multiplicity 4)

Calculated values
* E_tot: -45.98 eV/cell
* calculated formation energy: -6.1 kcal/mol of atoms
* calculated density: 7.0 g cm⁻³
* total magnetization: 0.0 μB per cell
* N(E_F): 3.5 states/eV/f.u.
* crystal system: orthorhombic

---

[2]
Here is YCdIn2 after structural relaxation from Alexandria. Energies are from PBE-GGA.

Cell: 3.4756 3.4756 30.8996 Å, 90.00 90.00 120.00°
Space group R3m (No. 160, hexagonal axes)
Symmetry-distinct sites (fractional):
Y (0.0000, 0.0000, 0.0000) (multiplicity 3)
Cd (0.0000, 0.0000, 0.7504) (multiplicity 3)
In (0.0000, 0.0000, 0.2481) (multiplicity 3)
In (0.0000, 0.0000, 0.4974) (multiplicity 3)

Calculated values
* E_tot: -39.79 eV/cell
* calculated formation energy: -2.4 kcal/mol of atoms
* calculated density: 6.6 g cm⁻³
* total magnetization: 0.0 μB per cell
* N(E_F): 3.1 states/eV/f.u.
* crystal system: trigonal

---

Q: Number 2 is which compound?
A: YCdIn2

---

Q: calculated density of number 2 (YCdIn2)?
A: 6.6 g cm⁻³

---

Q: Which of these has the highest N(E_F)?
A: Y2Cd3In2

---

Q: total magnetization of number 1 (Y2Cd3In2)?
A: 0.0 μB per cell